# GGA+U KUWO6, optimized geometry
# Size of the total moment ... 3.9 μB/cell
# E_tot ... -0.294 hartree per atom
# ρ ... 5.77 g/cm³
data_KUWO6
_symmetry_space_group_name_H-M 'I m m a'
_symmetry_Int_Tables_number 74
_symmetry_space_group_name_Hall '-I 2b 2'
_cell_length_a 7.5023
_cell_length_b 7.7897
_cell_length_c 10.9622
_cell_angle_alpha 90.00
_cell_angle_beta 90.00
_cell_angle_gamma 90.00
loop_
_atom_site_label
_atom_site_type_symbol
_atom_site_fract_x
_atom_site_fract_y
_atom_site_fract_z
K1 K 0.0000 0.2500 0.1491
U1 U 0.0000 0.0000 0.5000
W1 W 0.2500 0.2500 0.7500
O1 O 0.0000 0.2500 0.4211
O2 O 0.0000 0.2500 0.7978
O3 O 0.2027 0.0718 0.6301